Record 1
LaMgO2F | GGA-PBEsol | optimized geometry

POSCAR file:
```
LaMgO2F
1.0
3.722 0.000 0.000
0.000 3.984 0.000
0.000 0.000 3.984
La F Mg O
1 1 1 2
direct
0.500 0.500 0.500 La
0.500 0.000 0.000 F
0.000 0.000 0.000 Mg
0.000 0.500 0.000 O
0.000 0.000 0.500 O
```

Computed properties:
**ρ**: 6.0 g cm⁻³
**Electronic total energy**: -7.09 eV/atom
**Crystal system**: tetragonal
**Uncorrected formation energy**: -3.191 eV per atom
**Total moment**: 0.00 μB/f.u.

---

Record 2
LaMnF2 | GGA-PBEsol | optimized geometry

POSCAR file:
```
LaMnF2
1.0
3.265 0.000 0.000
1.632 2.828 0.000
1.632 0.943 7.394
F Mn La
2 1 1
direct
0.088 0.088 0.736 F
0.912 0.912 0.264 F
0.000 0.000 0.000 Mn
0.500 0.500 0.500 La
```

Computed properties:
**ρ**: 5.6 g cm⁻³
**Electronic total energy**: -6.50 eV/atom
**Crystal system**: trigonal
**Uncorrected formation energy**: -1.763 eV per atom
**Total moment**: 3.78 μB/f.u.

---

Record 3
LaMnNF2 | GGA-PBEsol | optimized geometry

POSCAR file:
```
LaMnNF2
1.0
4.527 0.000 0.000
0.000 4.527 0.000
0.000 0.000 4.751
Mn N F La
1 1 2 1
direct
0.500 0.500 0.500 Mn
0.000 0.000 0.500 N
0.500 0.000 0.000 F
0.000 0.500 0.000 F
0.000 0.000 0.000 La
```

Computed properties:
**ρ**: 4.2 g cm⁻³
**Electronic total energy**: -6.71 eV/atom
**Crystal system**: tetragonal
**Uncorrected formation energy**: -1.211 eV per atom
**Total moment**: 5.01 μB/f.u.

---

Record 4
LaMn2SF | GGA-PBEsol | optimized geometry

POSCAR file:
```
LaMn2SF
1.0
-0.052 2.469 -3.163
1.273 -2.989 -2.354
-5.471 -1.487 -1.070
S Mn La F
1 2 1 1
direct
0.000 0.000 0.000 S
0.500 0.000 0.000 Mn
0.000 0.500 0.000 Mn
0.000 0.000 0.500 La
0.500 0.500 0.500 F
```

Computed properties:
**ρ**: 5.4 g cm⁻³
**Electronic total energy**: -6.88 eV/atom
**Crystal system**: tetragonal
**Uncorrected formation energy**: -0.639 eV per atom
**Total moment**: 3.23 μB/f.u.

---

Record 5
LaMn2TeF | GGA-PBEsol | optimized geometry

POSCAR file:
```
LaMn2TeF
1.0
4.317 0.000 0.000
0.000 4.317 0.000
0.000 0.000 5.708
Te La Mn F
1 1 2 1
direct
0.000 0.000 0.500 Te
0.500 0.500 0.500 La
0.000 0.500 0.000 Mn
0.500 0.000 0.000 Mn
0.000 0.000 0.000 F
```

Computed properties:
**ρ**: 6.2 g cm⁻³
**Electronic total energy**: -6.43 eV/atom
**Crystal system**: tetragonal
**Uncorrected formation energy**: -0.364 eV per atom
**Total moment**: 7.63 μB/f.u.

---

Record 6
La3Mo4O16F | GGA-PBEsol | optimized geometry

POSCAR file:
```
La3Mo4O16F
1.0
7.198 0.029 -0.008
-1.285 7.281 -0.001
-2.862 -3.746 13.872
La O F Mo
6 32 2 8
direct
0.215 0.719 0.876 La
0.109 0.165 0.740 La
0.891 0.835 0.260 La
0.280 0.657 0.606 La
0.720 0.343 0.394 La
0.785 0.281 0.124 La
0.247 0.308 0.542 O
0.810 0.082 0.785 O
0.526 0.755 0.199 O
0.535 0.665 0.941 O
0.207 0.054 0.891 O
0.793 0.946 0.109 O
0.332 0.892 0.045 O
0.121 0.543 0.241 O
0.753 0.692 0.458 O
0.741 0.003 0.385 O
0.931 0.771 0.938 O
0.259 0.997 0.615 O
0.448 0.831 0.503 O
0.859 0.039 0.593 O
0.909 0.452 0.567 O
0.835 0.583 0.082 O
0.165 0.417 0.918 O
0.668 0.108 0.955 O
0.069 0.229 0.062 O
0.605 0.612 0.640 O
0.879 0.457 0.759 O
0.141 0.961 0.407 O
0.395 0.388 0.360 O
0.031 0.786 0.713 O
0.565 0.153 0.223 O
0.465 0.335 0.059 O
0.190 0.918 0.215 O
0.474 0.245 0.801 O
0.969 0.214 0.287 O
0.552 0.169 0.497 O
0.435 0.847 0.777 O
0.091 0.548 0.433 O
0.766 0.516 0.270 F
0.234 0.484 0.730 F
0.690 0.911 0.486 Mo
0.159 0.426 0.331 Mo
0.841 0.574 0.669 Mo
0.310 0.089 0.514 Mo
0.600 0.074 0.829 Mo
0.771 0.741 0.012 Mo
0.229 0.259 0.988 Mo
0.400 0.926 0.171 Mo
```

Computed properties:
**ρ**: 4.9 g cm⁻³
**Electronic total energy**: -8.84 eV/atom
**Crystal system**: triclinic
**Uncorrected formation energy**: -2.635 eV per atom
**Total moment**: 0.00 μB/f.u.

---

Record 7
LaNbN2F | GGA-PBEsol | optimized geometry

POSCAR file:
```
LaNbN2F
1.0
4.020 0.000 0.000
0.000 4.137 0.000
0.000 0.000 4.137
La F N Nb
1 1 2 1
direct
0.500 0.500 0.500 La
0.500 0.000 0.000 F
0.000 0.000 0.500 N
0.000 0.500 0.000 N
0.000 0.000 0.000 Nb
```

Computed properties:
**ρ**: 6.7 g cm⁻³
**Electronic total energy**: -8.63 eV/atom
**Crystal system**: tetragonal
**Uncorrected formation energy**: -1.604 eV per atom
**Total moment**: 0.00 μB/f.u.

---

Record 8
LaNO2F | GGA-PBEsol | optimized geometry

POSCAR file:
```
LaNO2F
1.0
3.635 0.000 0.000
0.000 3.957 0.000
0.000 0.000 3.957
F La O N
1 1 2 1
direct
0.000 0.000 0.000 F
0.500 0.500 0.500 La
0.000 0.000 0.500 O
0.000 0.500 0.000 O
0.500 0.000 0.000 N
```

Computed properties:
**ρ**: 5.9 g cm⁻³
**Electronic total energy**: -5.58 eV/atom
**Crystal system**: tetragonal
**Uncorrected formation energy**: -0.315 eV per atom
**Total moment**: 1.32 μB/f.u.